TiRhS3, relaxed, DFT PBE; energy relative to the elements, uncorrected = -0.733 eV per atom; volume = 374.8 Å³ per cell; mass density = 4.4 g/cm3; DFT total energy = -6.259 eV per atom
1.0
6.2803 0.2448 0.8161
0.9599 7.7152 0.6989
0.3593 -0.4905 7.7823
Ti Rh S
4 4 12
direct
0.2500 0.3196 0.6804
0.7500 0.6804 0.3196
0.2500 0.9529 0.0471
0.7500 0.0471 0.9529
0.4826 0.8411 0.6668
0.0174 0.3332 0.1589
0.5174 0.1589 0.3332
0.9826 0.6668 0.8411
0.0853 0.6378 0.1208
0.4147 0.8792 0.3622
0.9147 0.3622 0.8792
0.5853 0.1208 0.6378
0.6416 0.4299 0.2853
0.8584 0.7147 0.5701
0.3584 0.5701 0.7147
0.1416 0.2853 0.4299
0.6037 0.7877 0.9522
0.8963 0.0478 0.2123
0.3963 0.2123 0.0478
0.1037 0.9522 0.7877